1.
Below is Ac2YAs4Rh3 after structural relaxation, with properties calculated at the PBE level.

The density of states at the Fermi level comes out at 0.44 states/eV per atom. As for the space group: P-4m2 (115). As for the energy relative to the elements: -1003 meV/atom. The total energy comes out at -6.536 eV per atom.

Cell lengths 4.4344, 4.4344, 11.0095 Å; angles 90.00, 90.00, 90.00 degrees
Fractional positions:
Ac 0.0000 0.5000 0.2244
Ac 0.5000 0.0000 0.7756
Y 0.0000 0.0000 0.5000
As 0.0000 0.0000 0.0000
As 0.0000 0.5000 0.6592
As 0.5000 0.0000 0.3408
As 0.5000 0.5000 0.0000
Rh 0.0000 0.5000 0.8931
Rh 0.5000 0.0000 0.1069
Rh 0.5000 0.5000 0.5000

2.
Below is PmNdSm5 after structural relaxation, with properties calculated at the PBE level.

The density of states at the Fermi level comes out at 1.34 states/eV per atom. As for the space group: C2/c (15). As for the energy relative to the elements: 168 meV/atom. The value obtained for the excess energy over the best structure of this formula in the dataset is 0 meV per atom. The total energy comes out at -4.563 eV per atom.

Cell lengths 6.9300, 6.9300, 12.3743 Å; angles 107.90, 107.90, 59.96 degrees
Fractional positions:
Pm 0.0000 0.5000 0.0000
Pm 0.5000 0.0000 0.5000
Nd 0.0272 0.9728 0.7500
Nd 0.9728 0.0272 0.2500
Sm 0.1506 0.4120 0.7506
Sm 0.1916 0.6537 0.5002
Sm 0.3463 0.8084 0.9998
Sm 0.4120 0.1506 0.2506
Sm 0.4125 0.5875 0.2500
Sm 0.5875 0.4125 0.7500
Sm 0.5880 0.8494 0.7494
Sm 0.6537 0.1916 0.0002
Sm 0.8084 0.3463 0.4998
Sm 0.8494 0.5880 0.2494

3.
Below is LaTh2Tl9 after structural relaxation, with properties calculated at the PBE level.

The density of states at the Fermi level comes out at 0.51 states/eV per atom. As for the space group: P4/mmm (123). As for the energy relative to the elements: -223 meV/atom. The total energy comes out at -3.645 eV per atom.

Cell lengths 4.8453, 4.8453, 14.5178 Å; angles 90.00, 90.00, 90.00 degrees
Fractional positions:
La 0.0000 0.0000 0.0000
Th 0.0000 0.0000 0.3363
Th 0.0000 0.0000 0.6637
Tl 0.0000 0.5000 0.1686
Tl 0.0000 0.5000 0.5000
Tl 0.0000 0.5000 0.8314
Tl 0.5000 0.0000 0.1686
Tl 0.5000 0.0000 0.5000
Tl 0.5000 0.0000 0.8314
Tl 0.5000 0.5000 0.0000
Tl 0.5000 0.5000 0.3343
Tl 0.5000 0.5000 0.6657

4.
Below is Sc3AuO after structural relaxation, with properties calculated at the PBE level.

The density of states at the Fermi level comes out at 0.34 states/eV per atom. As for the uncorrected formation energy: -1533 meV per atom. As for the space group: Pmma (51). The total energy comes out at -6.979 eV per atom.

Cell lengths 4.4795, 4.3110, 8.7477 Å; angles 90.00, 90.00, 90.00 degrees
Fractional positions:
Sc 0.2500 0.0000 0.1062
Sc 0.2500 0.0000 0.6227
Sc 0.2500 0.5000 0.3500
Sc 0.7500 0.0000 0.3773
Sc 0.7500 0.0000 0.8938
Sc 0.7500 0.5000 0.6500
Au 0.2500 0.5000 0.8753
Au 0.7500 0.5000 0.1247
O 0.2500 0.0000 0.3607
O 0.7500 0.0000 0.6393

5.
Below is ZnPtCl2 after structural relaxation, with properties calculated at the PBE level.

The density of states at the Fermi level comes out at 0.18 states/eV per atom. As for the uncorrected formation energy: 143 meV per atom. As for the space group: I-42d (122). The value obtained for the excess energy over the best structure of this formula in the dataset is 552 meV per atom. The total energy comes out at -2.609 eV per atom.

Cell lengths 6.5149, 6.5149, 6.5149 Å; angles 125.71, 125.71, 80.37 degrees
Fractional positions:
Zn 0.0000 0.0000 0.0000
Zn 0.7500 0.2500 0.5000
Pt 0.2500 0.7500 0.5000
Pt 0.5000 0.5000 0.0000
Cl 0.1017 0.6250 0.9767
Cl 0.3750 0.3517 0.4767
Cl 0.6483 0.1250 0.0233
Cl 0.8750 0.8983 0.5233

6.
Below is Ca3HoGa4 after structural relaxation, with properties calculated at the PBE level.

The density of states at the Fermi level comes out at 0.79 states/eV per atom. As for the space group: P4/mmm (123). As for the energy relative to the elements: -472 meV/atom. The total energy comes out at -3.308 eV per atom.

Cell lengths 3.6186, 3.6186, 14.7420 Å; angles 90.00, 90.00, 90.00 degrees
Fractional positions:
Ca 0.0000 0.0000 0.0000
Ca 0.0000 0.0000 0.2529
Ca 0.0000 0.0000 0.7471
Ho 0.0000 0.0000 0.5000
Ga 0.5000 0.5000 0.1271
Ga 0.5000 0.5000 0.3820
Ga 0.5000 0.5000 0.6180
Ga 0.5000 0.5000 0.8729

7.
Below is Sn3BiSb3 after structural relaxation, with properties calculated at the PBE level.

The density of states at the Fermi level comes out at 0.45 states/eV per atom. As for the uncorrected formation energy: 94 meV per atom. As for the space group: R-3 (148). The total energy comes out at -3.943 eV per atom.

Cell lengths 8.2850, 8.2850, 8.2850 Å; angles 68.13, 68.13, 68.13 degrees
Fractional positions:
Sn 0.0879 0.7619 0.4074
Sn 0.2381 0.5926 0.9121
Sn 0.4074 0.0879 0.7619
Sn 0.5926 0.9121 0.2381
Sn 0.7619 0.4074 0.0879
Sn 0.9121 0.2381 0.5926
Bi 0.3310 0.3310 0.3310
Bi 0.6690 0.6690 0.6690
Sb 0.0778 0.4294 0.7348
Sb 0.2652 0.9222 0.5706
Sb 0.4294 0.7348 0.0778
Sb 0.5706 0.2652 0.9222
Sb 0.7348 0.0778 0.4294
Sb 0.9222 0.5706 0.2652

8.
Below is NpMnGa4 after structural relaxation, with properties calculated at the PBE level.

The density of states at the Fermi level comes out at 1.39 states/eV per atom. As for the space group: Pmma (51). As for the energy relative to the elements: -175 meV/atom. The total energy comes out at -5.878 eV per atom.

Cell lengths 7.5739, 4.0875, 6.6478 Å; angles 90.00, 90.00, 90.00 degrees
Fractional positions:
Np 0.2500 0.0000 0.1163
Np 0.7500 0.0000 0.8837
Mn 0.2500 0.0000 0.7251
Mn 0.7500 0.0000 0.2749
Ga 0.0000 0.0000 0.5000
Ga 0.0594 0.5000 0.8160
Ga 0.2500 0.5000 0.4472
Ga 0.4406 0.5000 0.8160
Ga 0.5000 0.0000 0.5000
Ga 0.5594 0.5000 0.1840
Ga 0.7500 0.5000 0.5528
Ga 0.9406 0.5000 0.1840